(1)
Entry from Alexandria: crystalline YBeRe2 at its relaxed geometry (PBE-GGA).

Lattice parameters (Å, degrees): 9.231 3.077 4.847 90.00 105.10 90.00
Space group C2/m (No. 12)
Asymmetric unit:
Y 0.000 0.000 0.000 [2 per cell]
Be 0.000 0.500 0.500 [2 per cell]
Re 0.221 0.000 0.683 [4 per cell]

Summary:
DFT formation energy	0.32	eV per atom

---

(2)
Entry from Alexandria: crystalline Re2RuAu at its relaxed geometry (PBE-GGA).

Lattice parameters (Å, degrees): 3.868 3.868 4.046 90.00 90.00 90.00
Space group P4/mmm (No. 123)
Asymmetric unit:
Re 0.000 0.500 0.000 [2 per cell]
Ru 0.000 0.000 0.500 [1 per cell]
Au 0.500 0.500 0.500 [1 per cell]

Summary:
offset from the most stable computed form	0.179	eV per atom
DFT formation energy	0.39	eV per atom

---

| no. | magnetization (μB/cell) |
| --- | --- |
| 1 | 0.00 |
| 2 | 0.00 |